[1]
Density functional theory data (PBEsol) for a geometry-optimized AlNi3O structure.

The structure in POSCAR format:
```
AlNi3O
1.0
3.779 0.000 0.000
0.000 3.779 0.000
0.000 0.000 3.779
Al Ni O
1 3 1
Direct
0.000 0.000 0.000 Al
0.000 0.500 0.500 Ni
0.500 0.000 0.500 Ni
0.500 0.500 0.000 Ni
0.500 0.500 0.500 O
```

## Properties
- E_tot (eV/atom) = -5.847
- magnetization (μB/atom) = 0.000
- DOS at the Fermi energy (states/eV/cell) = 3.01

***

[2]
Density functional theory data (PBEsol) for a geometry-optimized RbAlNi2O structure.

The structure in POSCAR format:
```
RbAlNi2O
1.0
4.366 0.000 0.000
0.000 4.366 0.000
0.000 0.000 6.140
Rb Al Ni O
1 1 2 1
Direct
0.000 0.000 0.000 Rb
0.000 0.000 0.500 Al
0.000 0.500 0.000 Ni
0.500 0.000 0.000 Ni
0.500 0.500 0.500 O
```

## Properties
- E_tot (eV/atom) = -2.188
- magnetization (μB/atom) = 0.150
- DOS at the Fermi energy (states/eV/cell) = 4.07

***

[3]
Density functional theory data (PBEsol) for a geometry-optimized AlNiOs2 structure.

The structure in POSCAR format:
```
AlNiOs2
1.0
1.353 0.781 8.327
-1.353 0.781 8.327
0.000 -1.562 8.327
Al Ni Os
1 1 2
Direct
0.000 0.000 0.000 Al
0.744 0.744 0.744 Ni
0.246 0.246 0.246 Os
0.494 0.494 0.494 Os
```

## Properties
- ΔH_f (0 K) (eV per formula unit) = -0.19
- E_tot (eV/atom) = -8.719
- magnetization (μB/atom) = 0.000
- DOS at the Fermi energy (states/eV/cell) = 4.39

***

[4]
Density functional theory data (PBEsol) for a geometry-optimized AlNi2Os structure.

The structure in POSCAR format:
```
AlNi2Os
1.0
4.278 0.000 0.000
0.000 4.278 0.000
0.000 0.000 2.648
Al Ni Os
1 2 1
Direct
0.000 0.000 0.000 Al
0.000 0.500 0.500 Ni
0.500 0.000 0.500 Ni
0.500 0.500 0.000 Os
```

## Properties
- ΔH_f (0 K) (eV per formula unit) = -0.50
- E_tot (eV/atom) = -7.280
- magnetization (μB/atom) = 0.000
- DOS at the Fermi energy (states/eV/cell) = 3.62

***

[5]
Density functional theory data (PBEsol) for a geometry-optimized AlNiOs2 structure.

The structure in POSCAR format:
```
AlNiOs2
1.0
1.356 0.783 8.261
-1.356 0.783 8.261
0.000 -1.566 8.261
Al Ni Os
1 1 2
Direct
0.000 0.000 0.000 Al
0.500 0.500 0.500 Ni
0.248 0.248 0.248 Os
0.752 0.752 0.752 Os
```

## Properties
- ΔH_f (0 K) (eV per formula unit) = 0.13
- E_tot (eV/atom) = -8.638
- magnetization (μB/atom) = 0.000
- DOS at the Fermi energy (states/eV/cell) = 3.07

***

[6]
Density functional theory data (PBEsol) for a geometry-optimized AlNiOs2 structure.

The structure in POSCAR format:
```
AlNiOs2
1.0
1.425 -2.254 0.000
1.425 2.254 0.000
0.000 0.000 8.294
Al Ni Os
1 1 2
Direct
0.000 0.000 0.000 Al
0.000 0.000 0.500 Ni
0.500 0.500 0.252 Os
0.500 0.500 0.748 Os
```

## Properties
- ΔH_f (0 K) (eV per formula unit) = 0.92
- E_tot (eV/atom) = -8.440
- magnetization (μB/atom) = 0.000
- DOS at the Fermi energy (states/eV/cell) = 5.05

***

[7]
Density functional theory data (PBEsol) for a geometry-optimized AlNiOs2 structure.

The structure in POSCAR format:
```
AlNiOs2
1.0
-1.894 1.894 3.622
1.894 -1.894 3.622
1.894 1.894 -3.622
Al Ni Os
1 1 2
Direct
0.000 0.000 0.000 Al
0.750 0.250 0.500 Ni
0.250 0.750 0.500 Os
0.500 0.500 0.000 Os
```

## Properties
- ΔH_f (0 K) (eV per formula unit) = -0.45
- E_tot (eV/atom) = -8.783
- magnetization (μB/atom) = 0.000
- DOS at the Fermi energy (states/eV/cell) = 2.13

***

[8]
Density functional theory data (PBEsol) for a geometry-optimized AlNiOs2 structure.

The structure in POSCAR format:
```
AlNiOs2
1.0
-1.400 2.220 4.281
1.400 -2.220 4.281
1.400 2.220 -4.281
Al Ni Os
1 1 2
Direct
0.000 0.000 0.000 Al
0.500 0.500 0.000 Ni
0.250 0.750 0.500 Os
0.750 0.250 0.500 Os
```

## Properties
- ΔH_f (0 K) (eV per formula unit) = 0.33
- E_tot (eV/atom) = -8.589
- magnetization (μB/atom) = 0.001
- DOS at the Fermi energy (states/eV/cell) = 4.11